The following is a DFT calculation (PBE) of Pm8Ge5Br after structural relaxation.

a b c (Å): 9.082 9.082 9.099
angles (deg): 90.00 90.00 90.00
Space group I-4 (No. 82)
Symmetry-distinct sites (fractional):
1 Pm 0.070 0.188 0.316 x8
2 Pm 0.070 0.324 0.942 x8
3 Ge 0.000 0.500 0.250 x2
4 Ge 0.128 0.251 0.628 x8
5 Br 0.000 0.000 0.000 x2

Summary:
**Formation energy (no corrections)**: -0.850 eV/atom
**DOS at the Fermi energy**: 13.03 states/eV/f.u.
**Energy**: -5.333 eV per atom